1.
PBE SmBi2, relaxed; E = -4.528 eV per atom; magnetic moment = 0.37 Bohr magnetons per cell
1.0
7.042 0.000 0.000
0.000 8.400 0.000
0.000 0.000 3.576
Sm Bi
2 4
Direct
0.000 0.000 0.000
0.500 0.500 0.500
0.142 0.364 0.000
0.358 0.864 0.500
0.642 0.136 0.500
0.858 0.636 0.000

2.
PBE Gd2Ho2CF5, relaxed; E = -6.347 eV per atom; magnetic moment = 0.00 Bohr magnetons per cell
1.0
7.410 -1.744 0.000
7.410 1.744 0.000
-2.721 0.000 6.286
Gd Ho C F
2 2 1 5
Direct
0.006 0.006 0.245
0.994 0.994 0.755
0.330 0.330 0.863
0.670 0.670 0.137
0.500 0.500 0.000
0.175 0.175 0.905
0.186 0.186 0.360
0.500 0.500 0.500
0.814 0.814 0.640
0.825 0.825 0.095

3.
PBE CsAgTe3Pd, relaxed; distance to the lowest polymorph of the same formula = 0.0572 eV per atom
1.0
2.046 -8.402 0.000
2.046 8.402 0.000
0.000 0.000 11.035
Cs Ag Te Pd
2 2 6 2
Direct
0.238 0.762 0.750
0.762 0.238 0.250
0.451 0.549 0.250
0.549 0.451 0.750
0.065 0.935 0.250
0.393 0.607 0.015
0.393 0.607 0.485
0.607 0.393 0.515
0.607 0.393 0.985
0.935 0.065 0.750
0.000 0.000 0.000
0.000 0.000 0.500

Number 1: volume 35.26 Å³/atom. Number 2: volume 16.25 Å³/atom. Number 3: volume 31.62 Å³/atom.